GGA-PBE Pr3SmDy3Te8, optimized geometry; VASP energy = -79.3 eV per formula unit; E_form (uncorrected) = -21.317 eV/f.u.; space group = No. 166
1.0
8.8295 0.0000 0.0000
-4.4148 7.6465 -0.0265
0.0000 -5.0726 7.2840
Te Dy Pr Sm
8 3 3 1
Direct
0.2650 0.0093 0.2536
0.7454 0.4909 0.7363
0.7444 0.4887 0.2537
0.2556 0.5113 0.7463
0.7350 0.9907 0.7464
0.7443 0.0093 0.2536
0.2546 0.5091 0.2637
0.2557 0.9907 0.7464
0.5000 0.5000 0.5000
0.0000 0.5000 0.5000
0.5000 0.0000 0.5000
0.5000 0.5000 0.0000
0.0000 0.0000 0.0000
0.0000 0.5000 0.0000
0.0000 0.0000 0.5000

GGA-PBE PrSm3Dy3Te8, optimized geometry; VASP energy = -79.0 eV per formula unit; E_form (uncorrected) = -21.095 eV/f.u.; space group = No. 166
1.0
-4.6125 -6.8369 3.0051
4.8819 -0.8436 -7.2463
3.8751 0.8275 7.8311
Dy Sm Te Pr
3 3 8 1
Direct
0.5000 0.0000 0.5000
0.5000 0.5000 0.5000
0.0000 0.5000 0.5000
0.5000 0.5000 0.0000
0.0000 0.5000 0.0000
0.0000 0.0000 0.0000
0.2609 0.5218 0.7561
0.7343 0.9952 0.7560
0.2609 0.9951 0.7560
0.7391 0.0049 0.2440
0.7476 0.4952 0.7428
0.7391 0.4782 0.2439
0.2657 0.0048 0.2440
0.2524 0.5048 0.2572
0.0000 0.0000 0.5000

GGA-PBE Pr4Sm3DyTe8, optimized geometry; VASP energy = -85.3 eV per formula unit; E_form (uncorrected) = -22.327 eV/f.u.; space group = No. 166
1.0
8.9203 0.0000 0.0000
0.0000 8.9933 0.0481
-4.4602 -4.4539 6.3090
Te Sm Pr Dy
8 3 4 1
Direct
0.2524 0.2572 0.5048
0.2495 0.2600 0.0047
0.2448 0.7400 0.4895
0.7552 0.2600 0.5105
0.2448 0.7400 0.9953
0.7552 0.2600 0.0047
0.7505 0.7400 0.9953
0.7476 0.7428 0.4952
0.5000 0.5000 0.5000
0.0000 0.5000 0.5000
0.5000 0.5000 0.0000
0.0000 0.0000 0.5000
0.5000 0.0000 0.5000
0.5000 0.0000 0.0000
0.0000 0.0000 0.0000
0.0000 0.5000 0.0000

GGA-PBE Pr4SmDy3Te8, optimized geometry; VASP energy = -84.7 eV per formula unit; E_form (uncorrected) = -21.960 eV/f.u.; space group = No. 166
1.0
8.8183 0.0000 0.0000
0.0000 9.0044 0.1254
-4.4092 -4.4047 6.2385
Te Pr Dy Sm
8 4 3 1
Direct
0.7524 0.2627 0.5048
0.7420 0.7373 0.9897
0.2476 0.7373 0.4952
0.2476 0.7373 0.9897
0.7524 0.2627 0.0103
0.2580 0.2627 0.0103
0.2551 0.2653 0.5102
0.7449 0.7347 0.4898
0.5000 0.0000 0.0000
0.0000 0.0000 0.5000
0.0000 0.0000 0.0000
0.5000 0.0000 0.5000
0.5000 0.5000 0.5000
0.0000 0.5000 0.5000
0.5000 0.5000 0.0000
0.0000 0.5000 0.0000

GGA-PBE PrSm4Dy3Te8, optimized geometry; VASP energy = -84.1 eV per formula unit; E_form (uncorrected) = -21.515 eV/f.u.; space group = No. 166
1.0
-5.5642 -5.9146 3.5064
-3.2829 -1.6792 -8.0422
8.6953 -0.6998 1.4615
Te Dy Sm Pr
8 3 4 1
Direct
0.7477 0.2532 0.0055
0.7477 0.2532 0.4954
0.7473 0.7420 0.4946
0.2523 0.7468 0.5046
0.7422 0.7468 0.9945
0.2523 0.7468 0.9945
0.2578 0.2532 0.0055
0.2527 0.2580 0.5054
0.5000 0.5000 0.5000
0.0000 0.5000 0.5000
0.5000 0.5000 0.0000
0.5000 0.0000 0.5000
0.0000 0.0000 0.0000
0.5000 0.0000 0.0000
0.0000 0.0000 0.5000
0.0000 0.5000 0.0000

GGA-PBE Pr3Sm4DyTe8, optimized geometry; VASP energy = -85.1 eV per formula unit; E_form (uncorrected) = -22.151 eV/f.u.; space group = No. 12
1.0
8.9535 0.0000 0.0000
0.0000 8.9170 -0.0167
-4.4767 -4.4618 6.3267
Te Sm Pr Dy
8 4 3 1
Direct
0.2472 0.7519 0.0047
0.2472 0.7519 0.4944
0.7528 0.2481 0.9953
0.7528 0.2481 0.5056
0.7524 0.7572 0.5048
0.2425 0.2481 0.9953
0.2476 0.2428 0.4952
0.7575 0.7519 0.0047
0.5000 0.0000 0.0000
0.0000 0.0000 0.5000
0.5000 0.0000 0.5000
0.0000 0.0000 0.0000
0.0000 0.5000 0.5000
0.5000 0.5000 0.5000
0.5000 0.5000 0.0000
0.0000 0.5000 0.0000

GGA-PBE Pr2SmDy3Te6, optimized geometry; VASP energy = -63.2 eV per formula unit; E_form (uncorrected) = -16.247 eV/f.u.; space group = No. 12
1.0
-4.1556 1.2921 0.5058
-2.8359 -7.9732 -2.9319
2.9073 -1.7368 9.3486
Te Dy Pr Sm
6 3 2 1
Direct
0.3327 0.9260 0.6653
0.9962 0.2532 0.9923
0.6673 0.0740 0.3347
0.3371 0.4084 0.6742
0.6629 0.5916 0.3258
0.0038 0.7468 0.0077
0.8311 0.1660 0.6622
0.5000 0.5000 0.0000
0.1689 0.8340 0.3378
0.8324 0.6651 0.6648
0.1676 0.3349 0.3352
0.5000 0.0000 0.0000

GGA-PBE PrSm3Dy2Te6, optimized geometry; VASP energy = -63.3 eV per formula unit; E_form (uncorrected) = -16.296 eV/f.u.; space group = No. 12
1.0
-0.2061 -4.3815 0.3578
8.6318 -0.5818 -2.1520
0.3268 2.9647 9.4288
Te Dy Pr Sm
6 2 1 3
Direct
0.3307 0.4198 0.6614
0.9962 0.7433 0.9924
0.6711 0.0914 0.3421
0.6693 0.5802 0.3386
0.0038 0.2567 0.0076
0.3289 0.9086 0.6579
0.1648 0.3310 0.3297
0.8352 0.6690 0.6703
0.5000 0.0000 0.0000
0.8391 0.1665 0.6783
0.5000 0.5000 0.0000
0.1609 0.8335 0.3217

Question: The highest VASP energy belongs to which entry?
Answer: Pr2SmDy3Te6

What did the fourth record say?
GGA-PBE Pr4SmDy3Te8, optimized geometry; VASP energy = -84.7 eV per formula unit; E_form (uncorrected) = -21.960 eV/f.u.; space group = No. 166
1.0
8.8183 0.0000 0.0000
0.0000 9.0044 0.1254
-4.4092 -4.4047 6.2385
Te Pr Dy Sm
8 4 3 1
Direct
0.7524 0.2627 0.5048
0.7420 0.7373 0.9897
0.2476 0.7373 0.4952
0.2476 0.7373 0.9897
0.7524 0.2627 0.0103
0.2580 0.2627 0.0103
0.2551 0.2653 0.5102
0.7449 0.7347 0.4898
0.5000 0.0000 0.0000
0.0000 0.0000 0.5000
0.0000 0.0000 0.0000
0.5000 0.0000 0.5000
0.5000 0.5000 0.5000
0.0000 0.5000 0.5000
0.5000 0.5000 0.0000
0.0000 0.5000 0.0000

Question: What is the E_form (uncorrected) in the first record?
Answer: -21.317 eV/f.u.

Question: Which formula does entry 5 have?
Answer: PrSm4Dy3Te8